LuPu3: relaxed, GGA-PBE.

Calculated values
calculated volume	97.4	Å³ per cell
energy above the most stable polymorph in this dataset	0.39	eV/f.u.
space group	Fm-3m, No. 225
calculated total energy	-11.57	eV/atom

Cell lengths 5.164, 5.164, 5.164 Å; angles 60.00, 60.00, 60.00 degrees
Fractional coordinates of all 4 atoms:
Lu 0.000 0.000 0.000
Pu 0.250 0.250 0.250
Pu 0.500 0.500 0.500
Pu 0.750 0.750 0.750

***

LuPu3: relaxed, GGA-PBE.

Calculated values
calculated volume	109.1	Å³ per cell
energy above the most stable polymorph in this dataset	0.10	eV/f.u.
space group	Pm-3m, No. 221
calculated total energy	-11.64	eV/atom

Cell lengths 4.779, 4.779, 4.779 Å; angles 90.00, 90.00, 90.00 degrees
Fractional coordinates of all 4 atoms:
Lu 0.000 0.000 0.000
Pu 0.000 0.500 0.500
Pu 0.500 0.000 0.500
Pu 0.500 0.500 0.000

***

Lu3Pu: relaxed, GGA-PBE.

Calculated values
calculated volume	115.5	Å³ per cell
energy above the most stable polymorph in this dataset	0.29	eV/f.u.
space group	Pm-3m, No. 221
calculated total energy	-6.84	eV/atom

Cell lengths 4.869, 4.869, 4.869 Å; angles 90.00, 90.00, 90.00 degrees
Fractional coordinates of all 4 atoms:
Lu 0.000 0.000 0.500
Lu 0.000 0.500 0.000
Lu 0.500 0.000 0.000
Pu 0.500 0.500 0.500

***

Lu3Pu: relaxed, GGA-PBE.

Calculated values
calculated volume	115.7	Å³ per cell
energy above the most stable polymorph in this dataset	0.40	eV/f.u.
space group	Fm-3m, No. 225
calculated total energy	-6.82	eV/atom

Cell lengths 5.470, 5.470, 5.470 Å; angles 60.00, 60.00, 60.00 degrees
Fractional coordinates of all 4 atoms:
Lu 0.000 0.000 0.000
Lu 0.250 0.250 0.250
Lu 0.750 0.750 0.750
Pu 0.500 0.500 0.500

***

LuPuRe4: relaxed, GGA-PBE.

Calculated values
calculated volume	110.9	Å³ per cell
space group	F-43m, No. 216
calculated total energy	-11.55	eV/atom

Cell lengths 5.392, 5.392, 5.392 Å; angles 60.00, 60.00, 60.00 degrees
Fractional coordinates of all 6 atoms:
Lu 0.000 0.000 0.000
Pu 0.250 0.250 0.250
Re 0.124 0.625 0.625
Re 0.625 0.124 0.625
Re 0.625 0.625 0.124
Re 0.625 0.625 0.625

***

LuPu2Re: relaxed, GGA-PBE.

Calculated values
calculated volume	93.9	Å³ per cell
space group	R-3m, No. 166
calculated total energy	-11.04	eV/atom

Cell lengths 10.384, 10.384, 10.384 Å; angles 18.06, 18.06, 18.06 degrees
Fractional coordinates of all 4 atoms:
Lu 0.000 0.000 0.000
Pu 0.238 0.238 0.238
Pu 0.762 0.762 0.762
Re 0.500 0.500 0.500